Here is crystalline Dy2InSi3Pt4 at its relaxed geometry from the Alexandria database. Energies are from PBE-GGA.

Computed properties:
SG: P-4m2 (115)
E: -62.1 eV per cell
Formation energy without anion corrections: -22.5 kcal/mol of atoms

extended XYZ file:
```
10
Lattice="4.226 0.000 0.000 0.000 4.226 0.000 0.000 0.000 10.355" Properties=species:S:1:pos:R:3 pbc="T T T"
Dy 0.000 2.113 2.499
Dy 2.113 0.000 7.857
In 0.000 0.000 5.178
Si 0.000 2.113 9.081
Si 2.113 0.000 1.275
Si 2.113 2.113 5.178
Pt 0.000 0.000 0.000
Pt 0.000 2.113 6.749
Pt 2.113 0.000 3.607
Pt 2.113 2.113 0.000
```

Here is crystalline Tb3Dy8Er4 at its relaxed geometry from the Alexandria database. Energies are from PBE-GGA.

Computed properties:
Excess energy over the best structure of this formula in the dataset: 0.0 meV/atom
SG: R-3m (166)
E: -66.6 eV per cell
ΔH_f (0 K): 0.154 eV per atom

extended XYZ file:
```
15
Lattice="3.441 1.987 11.669 -3.441 1.987 11.669 0.000 -3.973 11.669" Properties=species:S:1:pos:R:3 pbc="T T T"
Tb -1.720 -0.993 11.669
Tb -1.720 0.993 23.338
Tb 0.000 1.987 11.669
Dy 0.000 -1.978 14.587
Dy -1.713 0.989 14.587
Dy -1.713 -0.989 20.420
Dy 0.000 0.000 8.912
Dy 0.000 0.000 26.095
Dy 1.713 0.989 14.587
Dy 1.713 -0.989 20.420
Dy 0.000 1.978 20.420
Er 0.000 0.000 0.000
Er 0.000 0.000 5.736
Er 0.000 0.000 17.504
Er 0.000 0.000 29.271
```

Here is crystalline La2HCl at its relaxed geometry from the Alexandria database. Energies are from PBE-GGA.

Computed properties:
Excess energy over the best structure of this formula in the dataset: 132.8 meV/atom
SG: R3m (160)
E: -18.5 eV per cell

extended XYZ file:
```
4
Lattice="1.792 1.035 7.996 -1.792 1.035 7.996 0.000 -2.070 7.996" Properties=species:S:1:pos:R:3 pbc="T T T"
La 0.000 0.000 0.000
La 0.000 0.000 3.456
H 0.000 0.000 17.885
Cl 0.000 0.000 13.686
```

Here is crystalline K2CrFe at its relaxed geometry from the Alexandria database. Energies are from PBE-GGA.

Computed properties:
Excess energy over the best structure of this formula in the dataset: 558.0 meV/atom
SG: Cmmm (65)
E: -14.9 eV per cell
ΔH_f (0 K): 1.350 eV per atom

extended XYZ file:
```
4
Lattice="3.346 -5.526 0.000 3.346 5.526 0.000 0.000 0.000 3.223" Properties=species:S:1:pos:R:3 pbc="T T T"
K 1.673 2.763 0.000
K 1.673 -2.763 0.000
Cr 0.000 0.000 1.611
Fe 3.346 0.000 1.611
```

Here is crystalline PrNi2SbN at its relaxed geometry from the Alexandria database. Energies are from PBE-GGA.

Computed properties:
SG: Cmcm (63)
E: -63.8 eV per cell
Formation energy without anion corrections: -14.3 kcal/mol of atoms

extended XYZ file:
```
10
Lattice="1.868 -6.130 0.000 1.868 6.130 0.000 0.000 0.000 7.105" Properties=species:S:1:pos:R:3 pbc="T T T"
Pr 1.868 5.747 5.329
Pr 1.868 -5.747 1.776
Ni 1.868 1.843 3.910
Ni 1.868 1.843 6.747
Ni 1.868 -1.843 0.357
Ni 1.868 -1.843 3.195
Sb 1.868 3.234 1.776
Sb 1.868 -3.234 5.329
N 1.868 0.000 0.000
N 1.868 0.000 3.552
```

Here is crystalline AlS2Br2Cl2 at its relaxed geometry from the Alexandria database. Energies are from PBE-GGA.

Computed properties:
SG: C2/m (12)
E: -23.0 eV per cell
Formation energy without anion corrections: -13.1 kcal/mol of atoms

extended XYZ file:
```
7
Lattice="7.109 -1.800 0.000 7.109 1.800 0.000 -6.183 0.000 7.763" Properties=species:S:1:pos:R:3 pbc="T T T"
Al 0.000 0.000 0.000
S 4.208 0.000 2.970
S 3.827 0.000 4.792
Br -0.825 0.000 7.297
Br 8.860 0.000 0.466
Cl -0.523 0.000 2.210
Cl 8.558 0.000 5.553
```

Here is crystalline LaPmDy2 at its relaxed geometry from the Alexandria database. Energies are from PBE-GGA.

Computed properties:
Excess energy over the best structure of this formula in the dataset: 12.0 meV/atom
SG: P4/mmm (123)
E: -18.8 eV per cell
ΔH_f (0 K): 0.025 eV per atom

extended XYZ file:
```
4
Lattice="3.641 0.000 0.000 0.000 3.641 0.000 0.000 0.000 10.137" Properties=species:S:1:pos:R:3 pbc="T T T"
La 0.000 0.000 0.000
Pm 0.000 0.000 5.069
Dy 1.821 1.821 2.573
Dy 1.821 1.821 7.564
```

Here is crystalline MgGa3O at its relaxed geometry from the Alexandria database. Energies are from PBE-GGA.

Computed properties:
Excess energy over the best structure of this formula in the dataset: 963.2 meV/atom
SG: Pm-3m (221)
E: -11.8 eV per cell
Formation energy without anion corrections: 17.5 kcal/mol of atoms

extended XYZ file:
```
5
Lattice="5.043 0.000 0.000 0.000 5.043 0.000 0.000 0.000 5.043" Properties=species:S:1:pos:R:3 pbc="T T T"
Mg 0.000 0.000 0.000
Ga 0.000 0.000 2.521
Ga 0.000 2.521 0.000
Ga 2.521 0.000 0.000
O 2.521 2.521 2.521
```